1.
Entry from Alexandria via LeMat-Bulk: a relaxed Nd5TmAg6 crystal (PBE).

Results
Electronic total energy ... -48.63 eV per cell
Calculated formation energy ... -0.27 eV/atom
Theoretical density ... 8.20 g/cm3

Cell: 5.2906 7.3958 8.3699 Å, 90.00 107.99 90.00°
Closest atoms and distances in Å follow each position.
Space group P2/m (No. 10)
Symmetry-distinct sites (fractional):
Nd: 0.0000 0.0000 0.0000 (multiplicity 1)  8 Ag 3.20-3.27
Nd: 0.3310 0.0000 0.6623 (multiplicity 2)  8 Ag 3.26-3.31
Nd: 0.3346 0.5000 0.6688 (multiplicity 2)  8 Ag 3.17-3.29
Tm: 0.0000 0.5000 0.0000 (multiplicity 1)  8 Ag 3.13-3.18
Ag: 0.1615 0.2574 0.3229 (multiplicity 4)  1 Tm 3.13, 7 Nd 3.20-3.31
Ag: 0.5000 0.2610 0.0000 (multiplicity 2)  6 Nd 3.17-3.31, 2 Tm 3.18, 1 Ag 3.54


2.
Entry from Alexandria via LeMat-Bulk: a relaxed NdTmAg crystal (PBE).

Results
Electronic total energy ... -12.18 eV per cell
Energy relative to the lowest polymorph listed for this composition ... 139 meV per atom
Calculated formation energy ... -0.03 eV/atom
Theoretical density ... 8.33 g/cm3

Cell: 5.0560 5.0560 3.7929 Å, 90.00 90.00 120.00°
Closest atoms and distances in Å follow each position.
Space group P3m1 (No. 156)
Symmetry-distinct sites (fractional):
Nd: 0.0000 0.0000 0.0000 (multiplicity 1)  3 Ag 3.26, 6 Tm 3.42-3.54
Tm: 0.6667 0.3333 0.5278 (multiplicity 1)  3 Ag 2.97
Ag: 0.3333 0.6667 0.3819 (multiplicity 1)  3 Tm 2.97, 3 Nd 3.26


3.
Entry from Alexandria via LeMat-Bulk: a relaxed NdTmAg crystal (PBE).

Results
Electronic total energy ... -25.03 eV per cell
Energy relative to the lowest polymorph listed for this composition ... 29 meV per atom
Calculated formation energy ... -0.14 eV/atom
Theoretical density ... 8.09 g/cm3

Cell: 4.8127 4.8127 7.4627 Å, 90.00 90.00 90.00°
Closest atoms and distances in Å follow each position.
Space group P4/nmm (No. 129, origin choice 2)
Symmetry-distinct sites (fractional):
Nd: 0.2500 0.2500 0.1266 (multiplicity 2)  1 Ag 2.94
Tm: 0.2500 0.7500 0.5000 (multiplicity 2)  4 Ag 2.97
Ag: 0.2500 0.2500 0.7332 (multiplicity 2)  1 Nd 2.94, 4 Tm 2.97


4.
Entry from Alexandria via LeMat-Bulk: a relaxed NdTmAg2 crystal (PBE).

Results
Electronic total energy ... -64.27 eV per cell
Energy relative to the lowest polymorph listed for this composition ... 22 meV per atom
Calculated formation energy ... -0.28 eV/atom
Theoretical density ... 8.81 g/cm3

Cell: 7.3604 7.3604 7.3604 Å, 90.00 90.00 90.00°
Closest atoms and distances in Å follow each position.
Space group Fm-3m (No. 225)
Symmetry-distinct sites (fractional):
Nd: 0.0000 0.0000 0.0000 (multiplicity 4)  8 Ag 3.19
Tm: 0.0000 0.0000 0.5000 (multiplicity 4)  8 Ag 3.19
Ag: 0.2500 0.2500 0.2500 (multiplicity 8)  4 Tm 3.19, 4 Nd 3.19


5.
Entry from Alexandria via LeMat-Bulk: a relaxed Nd4TmAg5 crystal (PBE).

Results
Electronic total energy ... -40.53 eV per cell
Calculated formation energy ... -0.27 eV/atom
Theoretical density ... 8.28 g/cm3

Cell: 3.6833 3.6833 19.0057 Å, 90.00 90.00 90.00°
Closest atoms and distances in Å follow each position.
Space group P4/mmm (No. 123)
Symmetry-distinct sites (fractional):
Nd: 0.0000 0.0000 0.1015 (multiplicity 2)  8 Ag 3.24
Nd: 0.0000 0.0000 0.3057 (multiplicity 2)  8 Ag 3.25-3.29
Tm: 0.0000 0.0000 0.5000 (multiplicity 1)  8 Ag 3.10
Ag: 0.5000 0.5000 0.0000 (multiplicity 1)  8 Nd 3.24
Ag: 0.5000 0.5000 0.2032 (multiplicity 2)  8 Nd 3.24-3.25
Ag: 0.5000 0.5000 0.4114 (multiplicity 2)  4 Tm 3.10, 4 Nd 3.29, 1 Ag 3.37


6.
Entry from Alexandria via LeMat-Bulk: a relaxed Nd2Tm2Ag crystal (PBE).

Results
Electronic total energy ... -43.72 eV per cell
Calculated formation energy ... -0.11 eV/atom
Theoretical density ... 8.28 g/cm3

Cell: 3.5936 3.5936 22.8035 Å, 90.00 90.00 90.00°
Closest atoms and distances in Å follow each position.
Space group I4/mmm (No. 139)
Symmetry-distinct sites (fractional):
Nd: 0.0000 0.0000 0.1916 (multiplicity 4)  8 Nd 3.59-3.68, 4 Tm 3.61
Tm: 0.0000 0.0000 0.4210 (multiplicity 4)  4 Ag 3.11
Ag: 0.0000 0.0000 0.0000 (multiplicity 2)  8 Tm 3.11


7.
Entry from Alexandria via LeMat-Bulk: a relaxed NdTm2Ag3 crystal (PBE).

Results
Electronic total energy ... -24.16 eV per cell
Calculated formation energy ... -0.32 eV/atom
Theoretical density ... 9.24 g/cm3

Cell: 3.6067 3.6067 11.1250 Å, 90.00 90.00 90.00°
Closest atoms and distances in Å follow each position.
Space group P4/mmm (No. 123)
Symmetry-distinct sites (fractional):
Nd: 0.0000 0.0000 0.0000 (multiplicity 1)  8 Ag 3.28, 4 Nd 3.61
Tm: 0.0000 0.0000 0.3390 (multiplicity 2)  8 Ag 3.07-3.12
Ag: 0.5000 0.5000 0.1851 (multiplicity 2)  4 Tm 3.07, 4 Nd 3.28
Ag: 0.5000 0.5000 0.5000 (multiplicity 1)  8 Tm 3.12


8.
Entry from Alexandria via LeMat-Bulk: a relaxed NdTmAg4 crystal (PBE).

Results
Electronic total energy ... -44.65 eV per cell
Energy relative to the lowest polymorph listed for this composition ... 0 meV per atom
Calculated formation energy ... -0.28 eV/atom
Theoretical density ... 9.26 g/cm3

Cell: 10.0680 3.7407 7.6449 Å, 90.00 111.89 90.00°
Closest atoms and distances in Å follow each position.
Space group C2/m (No. 12)
Symmetry-distinct sites (fractional):
Nd: 0.0000 0.0000 0.0000 (multiplicity 2)  10 Ag 3.11-3.17
Tm: 0.0000 0.0000 0.5000 (multiplicity 2)  10 Ag 3.04-3.07
Ag: 0.1679 0.5000 0.8198 (multiplicity 4)  2 Tm 3.04, 5 Ag 3.04-3.23, 3 Nd 3.11-3.16
Ag: 0.1710 0.5000 0.3456 (multiplicity 4)  5 Ag 2.97-3.17, 3 Tm 3.06-3.07, 2 Nd 3.17


9.
Entry from Alexandria via LeMat-Bulk: a relaxed Nd2TmAg6 crystal (PBE).

Results
Electronic total energy ... -33.30 eV per cell
Calculated formation energy ... -0.24 eV/atom
Theoretical density ... 8.78 g/cm3

Cell: 8.3123 8.3123 3.4902 Å, 90.00 90.00 120.00°
Closest atoms and distances in Å follow each position.
Space group P6/mmm (No. 191)
Symmetry-distinct sites (fractional):
Nd: 0.3333 0.6667 0.0000 (multiplicity 2)  12 Ag 3.29, 2 Nd 3.49
Tm: 0.0000 0.0000 0.0000 (multiplicity 1)  12 Ag 3.25, 2 Tm 3.49
Ag: 0.0000 0.3302 0.5000 (multiplicity 6)  3 Ag 2.74-2.82


10.
Entry from Alexandria via LeMat-Bulk: a relaxed NdTmAg6 crystal (PBE).

Results
Electronic total energy ... -55.79 eV per cell
Calculated formation energy ... -0.19 eV/atom
Theoretical density ... 9.42 g/cm3

Cell: 9.3349 4.5628 9.0470 Å, 90.00 118.57 90.00°
Closest atoms and distances in Å follow each position.
Space group C2/m (No. 12)
Symmetry-distinct sites (fractional):
Nd: 0.0000 0.0000 0.0000 (multiplicity 2)  12 Ag 3.08-3.26
Tm: 0.0000 0.0000 0.5000 (multiplicity 2)  12 Ag 2.97-3.17
Ag: 0.0067 0.5000 0.7464 (multiplicity 4)  8 Ag 2.98-3.17, 2 Tm 3.17, 2 Nd 3.26
Ag: 0.2462 0.5000 0.6154 (multiplicity 4)  8 Ag 2.98-3.19, 3 Tm 3.01-3.05, 1 Nd 3.14
Ag: 0.2477 0.0000 0.8625 (multiplicity 4)  1 Tm 2.97, 6 Ag 3.02-3.19, 3 Nd 3.08-3.11


What did the fifth record say?
Entry from Alexandria via LeMat-Bulk: a relaxed Nd4TmAg5 crystal (PBE).

Results
Electronic total energy ... -40.53 eV per cell
Calculated formation energy ... -0.27 eV/atom
Theoretical density ... 8.28 g/cm3

Cell: 3.6833 3.6833 19.0057 Å, 90.00 90.00 90.00°
Closest atoms and distances in Å follow each position.
Space group P4/mmm (No. 123)
Symmetry-distinct sites (fractional):
Nd: 0.0000 0.0000 0.1015 (multiplicity 2)  8 Ag 3.24
Nd: 0.0000 0.0000 0.3057 (multiplicity 2)  8 Ag 3.25-3.29
Tm: 0.0000 0.0000 0.5000 (multiplicity 1)  8 Ag 3.10
Ag: 0.5000 0.5000 0.0000 (multiplicity 1)  8 Nd 3.24
Ag: 0.5000 0.5000 0.2032 (multiplicity 2)  8 Nd 3.24-3.25
Ag: 0.5000 0.5000 0.4114 (multiplicity 2)  4 Tm 3.10, 4 Nd 3.29, 1 Ag 3.37


What is the theoretical density in the eighth record? 9.26 g/cm3